YBe2Ir PBE relaxed; Fermi-level density of states = 1.31 states/eV/f.u.; distance to the lowest polymorph of the same formula = 48.6 kJ per mole of atoms; SG = Imm2
1.0
-1.5497 2.3023 4.1832
1.5497 -2.3023 4.1832
1.5497 2.3023 -4.1832
Y Be Ir
1 2 1
Direct
0.0000 0.0000 0.0000 Y
0.2939 0.7939 0.5000 Be
0.4930 0.4930 0.0000 Be
0.7110 0.2110 0.5000 Ir


YBe3Ir2 PBE relaxed; Fermi-level density of states = 2.74 states/eV/f.u.; distance to the lowest polymorph of the same formula = 0.0 kJ per mole of atoms; SG = Cmcm
1.0
4.3878 -3.4184 0.0000
4.3878 3.4184 0.0000
0.0000 0.0000 5.5720
Y Be Ir
2 6 4
Direct
0.1714 0.8286 0.7500 Y
0.8286 0.1714 0.2500 Y
0.0350 0.6012 0.2500 Be
0.3988 0.9650 0.2500 Be
0.4221 0.5779 0.2500 Be
0.5779 0.4221 0.7500 Be
0.6012 0.0350 0.7500 Be
0.9650 0.3988 0.7500 Be
0.3002 0.3002 0.0000 Ir
0.3002 0.3002 0.5000 Ir
0.6998 0.6998 0.0000 Ir
0.6998 0.6998 0.5000 Ir